Record 1
AcTbPm6Tm2 | PBE | relaxed

## Properties
Formation energy from the elements = 0.1212 eV per atom
Volume = 1389 Å³/cell

a = 9.407 Å, b = 15.324 Å, c = 9.681 Å
α = 90.00°, β = 95.54°, γ = 90.00°
Space group C2/c (No. 15)
Symmetry-distinct sites (fractional):
Ac 0.000 0.031 0.250
Tb 0.000 0.412 0.750
Pm 0.063 0.182 0.945
Pm 0.097 0.388 0.118
Pm 0.221 0.228 0.319
Tm 0.241 0.447 0.451

=====

Record 2
AcTb4Pm2Tm | PBE | relaxed

## Properties
Formation energy from the elements = 0.1295 eV per atom
Volume = 271 Å³/cell

a = 5.971 Å, b = 5.971 Å, c = 7.596 Å
α = 90.00°, β = 90.00°, γ = 90.00°
Space group P4/mmm (No. 123)
Symmetry-distinct sites (fractional):
Ac 0.000 0.000 0.000
Tb 0.000 0.500 0.263
Pm 0.000 0.000 0.500
Pm 0.500 0.500 0.000
Tm 0.500 0.500 0.500

=====

Record 3
AcTb2Pm5Tm | PBE | relaxed

## Properties
Formation energy from the elements = 0.1426 eV per atom
Volume = 1282 Å³/cell

a = 5.558 Å, b = 24.430 Å, c = 9.443 Å
α = 90.00°, β = 90.00°, γ = 90.00°
Space group Cmc2_1 (No. 36)
Symmetry-distinct sites (fractional):
Ac 0.000 0.102 0.000
Tb 0.000 0.327 0.748
Tb 0.000 0.387 0.149
Pm 0.000 0.024 0.675
Pm 0.000 0.106 0.397
Pm 0.000 0.191 0.705
Pm 0.000 0.242 0.063
Pm 0.000 0.490 0.895
Tm 0.000 0.261 0.390

=====

Record 4
AcTb2PmTm4 | PBE | relaxed

## Properties
Formation energy from the elements = 0.4519 eV per atom
Volume = 1094 Å³/cell

a = 6.875 Å, b = 11.866 Å, c = 13.406 Å
α = 90.00°, β = 90.00°, γ = 90.00°
Space group Imma (No. 74)
Symmetry-distinct sites (fractional):
Ac 0.000 0.000 0.000
Tb 0.000 0.000 0.500
Tb 0.250 0.250 0.250
Pm 0.250 0.250 0.750
Tm 0.000 0.003 0.259
Tm 0.237 0.250 0.497

=====

Record 5
AcTb3Pm6Tm2 | PBE | relaxed

## Properties
Formation energy from the elements = 0.0281 eV per atom
Volume = 810 Å³/cell

a = 6.287 Å, b = 10.886 Å, c = 12.027 Å
α = 90.00°, β = 100.06°, γ = 90.00°
Space group C2/m (No. 12)
Symmetry-distinct sites (fractional):
Ac 0.000 0.000 0.000
Tb 0.000 0.167 0.500
Tb 0.000 0.500 0.500
Pm 0.247 0.332 0.747
Pm 0.248 0.500 0.253
Tm 0.000 0.333 0.000

=====

Record 6
Ac2TbPm4Tm | PBE | relaxed

## Properties
Formation energy from the elements = 0.0415 eV per atom
Volume = 576 Å³/cell

a = 7.442 Å, b = 7.443 Å, c = 10.401 Å
α = 89.92°, β = 89.98°, γ = 89.93°
Space group P-1 (No. 2)
Symmetry-distinct sites (fractional):
Ac 0.000 0.000 0.000
Ac 0.000 0.000 0.500
Ac 0.000 0.500 0.000
Ac 0.500 0.000 0.000
Tb 0.000 0.500 0.500
Tb 0.500 0.500 0.000
Pm 0.257 0.744 0.259
Pm 0.258 0.256 0.741
Pm 0.258 0.257 0.259
Pm 0.258 0.743 0.741
Tm 0.500 0.000 0.500
Tm 0.500 0.500 0.500